Density functional theory data (PBE) for a geometry-optimized K2Cd2Bi3 structure.

Output
- E (eV per formula unit) = -17.10
- space-group type = No. 12
- ΔH_f (0 K) (eV/atom) = -0.2049
- V (Å³ per cell) = 243.1

Lattice parameters (Å, degrees): 4.9653 6.9009 8.5174 114.85 90.00 111.09
With the nearest neighbours (Å) after each atom.
Sites, in units of the cell vectors:
K1 0.8498 0.6997 0.2049  4 Cd 3.63-3.92, 7 Bi 3.68-4.03
K2 0.1502 0.3003 0.7951  4 Cd 3.63-3.92, 7 Bi 3.68-4.03
Cd1 0.8558 0.7116 0.7489  5 Bi 3.11-3.26
Cd2 0.1442 0.2884 0.2511  5 Bi 3.11-3.26
Bi1 0.5000 0.0000 0.0000  4 Cd 3.26, 2 Bi 3.44
Bi2 0.6025 0.2050 0.4495  3 Cd 3.11-3.18, 2 Bi 3.12-3.44
Bi3 0.3975 0.7950 0.5505  3 Cd 3.11-3.18, 2 Bi 3.12-3.44